[1]
Computed, not measured: a relaxed structure of NaScIn2Cl6 at the PBE-GGA level of DFT.

abc: 7.4188 7.4198 7.3690
angles: 59.76 59.77 59.98
With the nearest neighbours (Å) after each atom.
Positions (direct):
1 Cl 0.6246 0.1011 0.7887  1 Sc 2.52, 1 Na 2.78
2 Cl 0.5596 0.1507 0.2698  1 Sc 2.49
3 In 0.0430 0.0431 0.8707  6 Cl 3.24-3.32
4 Sc 0.3190 0.3190 0.0429  6 Cl 2.49-2.52
5 Na 0.8157 0.8157 0.5527  6 Cl 2.78-2.86
6 Cl 0.1016 0.4854 0.7883  1 Sc 2.52, 1 Na 2.78
7 Cl 0.4856 0.6245 0.7881  1 Sc 2.52, 1 Na 2.78
8 Cl 0.0200 0.5599 0.2695  1 Sc 2.49
9 In 0.5418 0.5419 0.3744  6 Cl 3.19-3.29
10 Cl 0.1505 0.0201 0.2702  1 Sc 2.49

Calculated values
The calculated total energy comes out at -3.9686 eV per atom. The magnetization comes out at 0.000 μB per cell. The volume is 285.8 Å³ per cell. The crystal system is trigonal. The value obtained for the formation energy (no corrections) is -1.548 eV/atom.

---

[2]
Computed, not measured: a relaxed structure of Pr3CdGa2 at the PBE-GGA level of DFT.

abc: 5.3470 5.3470 13.1170
angles: 90.00 90.00 120.00
With the nearest neighbours (Å) after each atom.
Positions (direct):
1 Ga 0.0000 0.0000 0.0000  8 Pr 3.14-3.24
2 Ga 0.6667 0.3333 0.8263  8 Pr 3.19-3.35
3 Cd 0.3333 0.6667 0.6717  8 Pr 3.30-3.34, 3 Ga 3.69
4 Pr 0.6667 0.3333 0.0741  7 Ga 3.24-3.35, 1 Cd 3.33
5 Cd 0.6667 0.3333 0.3283  8 Pr 3.30-3.34, 3 Ga 3.69
6 Ga 0.0000 0.0000 0.5000  8 Pr 3.27-3.42
7 Pr 0.6667 0.3333 0.5832  4 Ga 3.19-3.27, 4 Cd 3.30-3.34
8 Pr 0.0000 0.0000 0.2395  5 Ga 3.14-3.42, 3 Cd 3.30
9 Pr 0.3333 0.6667 0.9259  7 Ga 3.24-3.35, 1 Cd 3.33
10 Pr 0.3333 0.6667 0.4168  4 Ga 3.19-3.27, 4 Cd 3.30-3.34
11 Pr 0.0000 0.0000 0.7605  5 Ga 3.14-3.42, 3 Cd 3.30
12 Ga 0.3333 0.6667 0.1737  8 Pr 3.19-3.35

Calculated values
The calculated total energy comes out at -4.0146 eV per atom. The magnetization comes out at 0.000 μB per cell. The volume is 324.8 Å³ per cell. The crystal system is trigonal. As for the offset from the most stable computed form: 6 meV per atom. Its formation energy is -463.3 meV per atom.